The following is a DFT calculation (PBEsol) of MnP2RuCl after structural relaxation.

POSCAR file:
```
MnP2RuCl
1.0
-2.537 0.366 3.641
3.076 -2.188 2.363
2.218 4.318 1.111
P Cl Mn Ru
2 1 1 1
direct
0.500 0.000 0.000
0.000 0.500 0.000
0.000 0.000 0.500
0.500 0.500 0.500
0.000 0.000 0.000
```

The calculation puts the raw formation energy at 0.609 eV/atom. The value obtained for the calculated density is 4.26 Mg/m³. The calculated total energy is -6.10 eV/atom. As for the density of states at the Fermi level: 3.43 states/eV/f.u. Its space group is No. 123.